The following is a DFT calculation (PBE) of GaMo4AsC2 after structural relaxation.

- uncorrected energy (hartree per atom) = -0.32237
- crystal system = hexagonal

CIF file:
```
data_GaMo4AsC2
_symmetry_space_group_name_H-M 'P -6 m 2'
_symmetry_Int_Tables_number 187
_symmetry_space_group_name_Hall 'P -6 2'
_cell_length_a 3.1307
_cell_length_b 3.1307
_cell_length_c 12.7879
_cell_angle_alpha 90.00
_cell_angle_beta 90.00
_cell_angle_gamma 120.00
loop_
_atom_site_label
_atom_site_fract_x
_atom_site_fract_y
_atom_site_fract_z
Ga1 0.0000 0.0000 0.0000
Mo1 0.0000 0.0000 0.3436
Mo2 0.3333 0.6667 0.1660
As1 0.3333 0.6667 0.5000
C1 0.6667 0.3333 0.2536
```

The following is a DFT calculation (PBE) of GaAsW4C2 after structural relaxation.

- uncorrected energy (hartree per atom) = -0.35254
- crystal system = hexagonal

CIF file:
```
data_GaAsW4C2
_symmetry_space_group_name_H-M 'P -6 m 2'
_symmetry_Int_Tables_number 187
_symmetry_space_group_name_Hall 'P -6 2'
_cell_length_a 3.1311
_cell_length_b 3.1311
_cell_length_c 12.8140
_cell_angle_alpha 90.00
_cell_angle_beta 90.00
_cell_angle_gamma 120.00
loop_
_atom_site_label
_atom_site_fract_x
_atom_site_fract_y
_atom_site_fract_z
Ga1 0.0000 0.0000 0.0000
As1 0.3333 0.6667 0.5000
W1 0.0000 0.0000 0.3433
W2 0.3333 0.6667 0.1646
C1 0.6667 0.3333 0.2535
```

The following is a DFT calculation (PBE) of Zr4GaAsC2 after structural relaxation.

- uncorrected energy (hartree per atom) = -0.30784
- crystal system = hexagonal

CIF file:
```
data_Zr4GaAsC2
_symmetry_space_group_name_H-M 'P -6 m 2'
_symmetry_Int_Tables_number 187
_symmetry_space_group_name_Hall 'P -6 2'
_cell_length_a 3.4000
_cell_length_b 3.4000
_cell_length_c 13.5030
_cell_angle_alpha 90.00
_cell_angle_beta 90.00
_cell_angle_gamma 120.00
loop_
_atom_site_label
_atom_site_fract_x
_atom_site_fract_y
_atom_site_fract_z
Zr1 0.0000 0.0000 0.1464
Zr2 0.6667 0.3333 0.3333
Ga1 0.0000 0.0000 0.5000
As1 0.6667 0.3333 0.0000
C1 0.3333 0.6667 0.2412
```

The following is a DFT calculation (PBE) of Gd2As4C after structural relaxation.

- uncorrected energy (hartree per atom) = -0.19640
- crystal system = tetragonal

CIF file:
```
data_Gd2As4C
_symmetry_space_group_name_H-M 'I 4/m m m'
_symmetry_Int_Tables_number 139
_symmetry_space_group_name_Hall '-I 4 2'
_cell_length_a 4.249
_cell_length_b 4.249
_cell_length_c 16.128
_cell_angle_alpha 90.00
_cell_angle_beta 90.00
_cell_angle_gamma 90.00
loop_
_atom_site_label
_atom_site_fract_x
_atom_site_fract_y
_atom_site_fract_z
Gd1 0.000 0.000 0.152
As1 0.000 0.000 0.332
As2 0.000 0.500 0.000
C1 0.000 0.000 0.500
```